Computed, not measured: a relaxed structure of ZrFeHgGe at the PBE-GGA level of DFT.

Results
* volume: 73.0 Å³/cell
* VASP energy: -5.22 eV/atom
* distance to the lowest polymorph of the same formula: 59 kJ/mol of formula units
* M_tot: 1.61 μB per formula unit

a b c (Å): 4.691 4.691 4.691
angles (deg): 60.00 60.00 60.00
Positions (direct):
Fe (0.750, 0.750, 0.750)
Ge (0.000, 0.000, 0.000)
Hg (0.250, 0.250, 0.250)
Zr (0.500, 0.500, 0.500)



Computed, not measured: a relaxed structure of ZrFeHgGe at the PBE-GGA level of DFT.

Results
* volume: 71.8 Å³/cell
* VASP energy: -5.37 eV/atom
* distance to the lowest polymorph of the same formula: 0 kJ/mol of formula units
* M_tot: 2.05 μB per formula unit

a b c (Å): 4.665 4.665 4.665
angles (deg): 60.00 60.00 60.00
Positions (direct):
Fe (0.750, 0.750, 0.750)
Ge (0.000, 0.000, 0.000)
Hg (0.500, 0.500, 0.500)
Zr (0.250, 0.250, 0.250)



Computed, not measured: a relaxed structure of HoFe4Ge2 at the PBE-GGA level of DFT.

Results
* volume: 205.3 Å³/cell
* VASP energy: -7.05 eV/atom
* M_tot: 8.12 μB per formula unit

a b c (Å): 6.627 7.618 4.066
angles (deg): 90.00 90.00 90.00
Last column: magnetic moment on the atom in μB.
Positions (direct):
Fe (0.564, 0.149, 0.000)  2.02
Fe (0.860, 0.378, 0.000)  2.22
Fe (0.140, 0.622, 0.000)  2.22
Fe (0.436, 0.851, 0.000)  2.02
Fe (0.360, 0.122, 0.500)  2.20
Fe (0.064, 0.351, 0.500)  2.01
Fe (0.936, 0.649, 0.500)  2.01
Fe (0.640, 0.878, 0.500)  2.20
Ge (0.255, 0.314, 0.000)  -0.07
Ge (0.745, 0.686, 0.000)  -0.07
Ge (0.755, 0.186, 0.500)  -0.08
Ge (0.245, 0.814, 0.500)  -0.08
Ho (0.000, 0.000, 0.000)  -0.17
Ho (0.500, 0.500, 0.500)  -0.16